(1)
Entry from Alexandria via LeMat-Bulk: a relaxed GaSbPCl2 crystal (PBE-GGA).

Output
For the total energy, the calculation gives -3.210 eV/atom. Its density of states at the Fermi level is 0.60 states/eV/atom. As for the energy above the most stable polymorph in this dataset: 0 meV/atom. Its formation energy without anion corrections is 0.20 eV per formula unit. The symmetry is P4/mmm (123).

a = 5.3600 Å, b = 5.3600 Å, c = 5.2514 Å
α = 90.00°, β = 90.00°, γ = 90.00°
Element x y z (fractional)
Sb1 0.0000 0.0000 0.0000
P1 0.0000 0.0000 0.5000
Ga1 0.5000 0.5000 0.5000
Cl1 0.0000 0.5000 0.0000
Cl2 0.5000 0.0000 0.0000



(2)
Entry from Alexandria via LeMat-Bulk: a relaxed GaSbP2Cl crystal (PBE-GGA).

Output
For the total energy, the calculation gives -3.372 eV/atom. Its density of states at the Fermi level is 0.95 states/eV/atom. As for the energy above the most stable polymorph in this dataset: 159 meV/atom. Its formation energy without anion corrections is 2.95 eV per formula unit. The symmetry is P4/mmm (123).

a = 5.1040 Å, b = 5.1040 Å, c = 5.4567 Å
α = 90.00°, β = 90.00°, γ = 90.00°
Element x y z (fractional)
Sb1 0.0000 0.0000 0.0000
P1 0.0000 0.5000 0.0000
P2 0.5000 0.0000 0.0000
Ga1 0.5000 0.5000 0.5000
Cl1 0.0000 0.0000 0.5000



(3)
Entry from Alexandria via LeMat-Bulk: a relaxed GaSbP2Cl crystal (PBE-GGA).

Output
For the total energy, the calculation gives -3.531 eV/atom. Its density of states at the Fermi level is 0.55 states/eV/atom. As for the energy above the most stable polymorph in this dataset: 0 meV/atom. Its formation energy without anion corrections is 2.16 eV per formula unit. The symmetry is P4/mmm (123).

a = 4.8161 Å, b = 4.8161 Å, c = 4.6633 Å
α = 90.00°, β = 90.00°, γ = 90.00°
Element x y z (fractional)
Sb1 0.5000 0.5000 0.5000
P1 0.0000 0.5000 0.0000
P2 0.5000 0.0000 0.0000
Ga1 0.0000 0.0000 0.0000
Cl1 0.0000 0.0000 0.5000



(4)
Entry from Alexandria via LeMat-Bulk: a relaxed GaSbPCl2 crystal (PBE-GGA).

Output
For the total energy, the calculation gives -3.193 eV/atom. Its density of states at the Fermi level is 0.50 states/eV/atom. As for the energy above the most stable polymorph in this dataset: 17 meV/atom. Its formation energy without anion corrections is 0.29 eV per formula unit. The symmetry is P4/mmm (123).

a = 4.7228 Å, b = 4.7228 Å, c = 5.0962 Å
α = 90.00°, β = 90.00°, γ = 90.00°
Element x y z (fractional)
Sb1 0.5000 0.5000 0.5000
P1 0.0000 0.0000 0.5000
Ga1 0.0000 0.0000 0.0000
Cl1 0.0000 0.5000 0.0000
Cl2 0.5000 0.0000 0.0000



(5)
Entry from Alexandria via LeMat-Bulk: a relaxed Ga2PSeCl crystal (PBE-GGA).

Output
For the total energy, the calculation gives -3.108 eV/atom. Its density of states at the Fermi level is 0.32 states/eV/atom. Its formation energy without anion corrections is 1.26 eV per formula unit. The symmetry is P4/mmm (123).

a = 5.8737 Å, b = 4.5646 Å, c = 5.8737 Å
α = 90.00°, β = 90.00°, γ = 90.00°
Element x y z (fractional)
P1 0.0000 0.5000 0.0000
Ga1 0.0000 0.0000 0.5000
Ga2 0.5000 0.0000 0.0000
Se1 0.0000 0.0000 0.0000
Cl1 0.5000 0.5000 0.5000



(6)
Entry from Alexandria via LeMat-Bulk: a relaxed GaPSeCl2 crystal (PBE-GGA).

Output
For the total energy, the calculation gives -2.914 eV/atom. Its density of states at the Fermi level is 0.46 states/eV/atom. As for the energy above the most stable polymorph in this dataset: 0 meV/atom. Its formation energy without anion corrections is 1.04 eV per formula unit. The symmetry is P4/mmm (123).

a = 4.6137 Å, b = 4.6137 Å, c = 5.3194 Å
α = 90.00°, β = 90.00°, γ = 90.00°
Element x y z (fractional)
P1 0.0000 0.0000 0.5000
Ga1 0.0000 0.0000 0.0000
Se1 0.5000 0.5000 0.5000
Cl1 0.0000 0.5000 0.0000
Cl2 0.5000 0.0000 0.0000



(7)
Entry from Alexandria via LeMat-Bulk: a relaxed GaP2SeCl crystal (PBE-GGA).

Output
For the total energy, the calculation gives -3.188 eV/atom. Its density of states at the Fermi level is 0.77 states/eV/atom. As for the energy above the most stable polymorph in this dataset: 0 meV/atom. Its formation energy without anion corrections is 3.24 eV per formula unit. The symmetry is P4/mmm (123).

a = 4.8371 Å, b = 4.8371 Å, c = 4.5820 Å
α = 90.00°, β = 90.00°, γ = 90.00°
Element x y z (fractional)
P1 0.0000 0.5000 0.0000
P2 0.5000 0.0000 0.0000
Ga1 0.0000 0.0000 0.0000
Se1 0.5000 0.5000 0.5000
Cl1 0.0000 0.0000 0.5000



(8)
Entry from Alexandria via LeMat-Bulk: a relaxed GaSiPCl2 crystal (PBE-GGA).

Output
For the total energy, the calculation gives -3.495 eV/atom. Its density of states at the Fermi level is 0.60 states/eV/atom. As for the energy above the most stable polymorph in this dataset: 0 meV/atom. Its formation energy without anion corrections is 0.08 eV per formula unit. The symmetry is P4/mmm (123).

a = 4.8446 Å, b = 4.8446 Å, c = 4.6835 Å
α = 90.00°, β = 90.00°, γ = 90.00°
Element x y z (fractional)
P1 0.0000 0.0000 0.5000
Si1 0.0000 0.0000 0.0000
Ga1 0.5000 0.5000 0.5000
Cl1 0.0000 0.5000 0.0000
Cl2 0.5000 0.0000 0.0000



(9)
Entry from Alexandria via LeMat-Bulk: a relaxed Sm4GaPCl2 crystal (PBE-GGA).

Output
For the total energy, the calculation gives -5.163 eV/atom. Its density of states at the Fermi level is 0.58 states/eV/atom. Its formation energy without anion corrections is -10.30 eV per formula unit. The symmetry is P2/m (10).

a = 4.1629 Å, b = 7.2242 Å, c = 7.2011 Å
α = 70.31°, β = 90.00°, γ = 90.00°
Element x y z (fractional)
Sm1 0.0000 0.7296 0.7515
Sm2 0.0000 0.2704 0.2485
Sm3 0.5000 0.7216 0.2640
Sm4 0.5000 0.2784 0.7360
Ga1 0.5000 0.5000 0.0000
P1 0.0000 0.5000 0.5000
Cl1 0.0000 0.0000 0.0000
Cl2 0.5000 0.0000 0.5000



(10)
Entry from Alexandria via LeMat-Bulk: a relaxed GaSnPCl2 crystal (PBE-GGA).

Output
For the total energy, the calculation gives -3.368 eV/atom. Its density of states at the Fermi level is 0.42 states/eV/atom. As for the energy above the most stable polymorph in this dataset: 0 meV/atom. Its formation energy without anion corrections is -0.70 eV per formula unit. The symmetry is P4/mmm (123).

a = 4.8186 Å, b = 4.8186 Å, c = 5.0145 Å
α = 90.00°, β = 90.00°, γ = 90.00°
Element x y z (fractional)
P1 0.0000 0.0000 0.5000
Sn1 0.5000 0.5000 0.5000
Ga1 0.0000 0.0000 0.0000
Cl1 0.0000 0.5000 0.0000
Cl2 0.5000 0.0000 0.0000



(11)
Entry from Alexandria via LeMat-Bulk: a relaxed GaSnP2Cl crystal (PBE-GGA).

Output
For the total energy, the calculation gives -3.625 eV/atom. Its density of states at the Fermi level is 0.71 states/eV/atom. As for the energy above the most stable polymorph in this dataset: 0 meV/atom. Its formation energy without anion corrections is 1.57 eV per formula unit. The symmetry is P4/mmm (123).

a = 4.7429 Å, b = 4.7429 Å, c = 4.9707 Å
α = 90.00°, β = 90.00°, γ = 90.00°
Element x y z (fractional)
P1 0.0000 0.5000 0.0000
P2 0.5000 0.0000 0.0000
Sn1 0.5000 0.5000 0.5000
Ga1 0.0000 0.0000 0.0000
Cl1 0.0000 0.0000 0.5000



(12)
Entry from Alexandria via LeMat-Bulk: a relaxed SrGaPCl2 crystal (PBE-GGA).

Output
For the total energy, the calculation gives -3.647 eV/atom. Its density of states at the Fermi level is 0.81 states/eV/atom. As for the energy above the most stable polymorph in this dataset: 0 meV/atom. Its formation energy without anion corrections is -4.42 eV per formula unit. The symmetry is P4/mmm (123).

a = 5.0448 Å, b = 5.0448 Å, c = 4.8190 Å
α = 90.00°, β = 90.00°, γ = 90.00°
Element x y z (fractional)
Sr1 0.5000 0.5000 0.5000
P1 0.0000 0.0000 0.5000
Ga1 0.0000 0.0000 0.0000
Cl1 0.0000 0.5000 0.0000
Cl2 0.5000 0.0000 0.0000



(13)
Entry from Alexandria via LeMat-Bulk: a relaxed SrGaPCl2 crystal (PBE-GGA).

Output
For the total energy, the calculation gives -3.346 eV/atom. Its density of states at the Fermi level is 0.53 states/eV/atom. As for the energy above the most stable polymorph in this dataset: 301 meV/atom. Its formation energy without anion corrections is -2.92 eV per formula unit. The symmetry is P4/mmm (123).

a = 5.5878 Å, b = 5.5878 Å, c = 6.1153 Å
α = 90.00°, β = 90.00°, γ = 90.00°
Element x y z (fractional)
Sr1 0.0000 0.0000 0.0000
P1 0.0000 0.0000 0.5000
Ga1 0.5000 0.5000 0.5000
Cl1 0.0000 0.5000 0.0000
Cl2 0.5000 0.0000 0.0000



(14)
Entry from Alexandria via LeMat-Bulk: a relaxed GaTcP2Cl crystal (PBE-GGA).

Output
For the total energy, the calculation gives -5.038 eV/atom. Its density of states at the Fermi level is 0.41 states/eV/atom. As for the energy above the most stable polymorph in this dataset: 0 meV/atom. Its formation energy without anion corrections is 0.87 eV per formula unit. The symmetry is P4/mmm (123).

a = 4.5433 Å, b = 4.5433 Å, c = 5.3684 Å
α = 90.00°, β = 90.00°, γ = 90.00°
Element x y z (fractional)
P1 0.0000 0.5000 0.0000
P2 0.5000 0.0000 0.0000
Tc1 0.0000 0.0000 0.0000
Ga1 0.5000 0.5000 0.5000
Cl1 0.0000 0.0000 0.5000